No. 1
# PmNdGd2

A relaxed PmNdGd2 crystal (PBE, the Alexandria database).

Values from the calculation:
Formation energy = 0.017 eV/atom
ΔE to the lowest computed polymorph = 0.0 meV per atom
D(E_F) = 7.1 states/eV/cell
Crystal system = tetragonal
Total magnetization = 3.66 μB per atom

Cell: 5.125 5.125 5.114 Å, 90.00 90.00 90.00°
Space group P4/mmm (No. 123)
Inequivalent atoms, fractional coordinates:
Pm  0.000  0.000  0.000 [1 per cell]
Nd  0.500  0.500  0.000 [1 per cell]
Gd  0.000  0.500  0.500 [2 per cell]



No. 2
# Tb8TmSc3

A relaxed Tb8TmSc3 crystal (PBE, the Alexandria database).

Values from the calculation:
Formation energy = 0.079 eV/atom
D(E_F) = 19.5 states/eV/cell
Crystal system = triclinic
Total magnetization = 0.00 μB per atom

Cell: 5.802 8.440 8.673 Å, 65.83 73.86 71.59°
Space group P1 (No. 1)
Inequivalent atoms, fractional coordinates:
Tb  0.000  0.000  0.000 [1 per cell]
Tb  0.022  0.710  0.421 [1 per cell]
Tb  0.149  0.480  0.147 [1 per cell]
Tb  0.215  0.243  0.572 [1 per cell]
Tb  0.328  0.023  0.294 [1 per cell]
Tb  0.355  0.728  0.715 [1 per cell]
Tb  0.562  0.731  0.086 [1 per cell]
Tb  0.790  0.990  0.653 [1 per cell]
Tm  0.885  0.468  0.845 [1 per cell]
Sc  0.459  0.253  0.880 [1 per cell]
Sc  0.649  0.462  0.488 [1 per cell]
Sc  0.711  0.252  0.250 [1 per cell]



No. 3
# Mn2CoAg

A relaxed Mn2CoAg crystal (PBE, the Alexandria database).

Values from the calculation:
Formation energy = 0.305 eV/atom
ΔE to the lowest computed polymorph = 139.1 meV per atom
D(E_F) = 5.6 states/eV/cell
Crystal system = tetragonal
Total magnetization = 0.64 μB per atom

Cell: 2.648 2.648 7.507 Å, 90.00 90.00 90.00°
Space group P4mm (No. 99)
Inequivalent atoms, fractional coordinates:
Mn  0.000  0.000  0.000 [1 per cell]
Mn  0.500  0.500  0.229 [1 per cell]
Co  0.500  0.500  0.794 [1 per cell]
Ag  0.000  0.000  0.517 [1 per cell]